Record 1
{
  "formula": "LiReTeP2",
  "functional": "GGA-PBE",
  "state": "relaxed",
  "lattice_angstrom": [[5.1653, 0.0000, 0.0000], [0.0000, 4.5491, 0.0000], [0.0000, 0.0000, 5.1653]],
  "species": ["Li", "P", "Re", "Te", "P"],
  "frac_coords": [[0.0000, 0.5000, 0.0000], [0.5000, 0.0000, 0.0000], [0.5000, 0.5000, 0.5000], [0.0000, 0.0000, 0.0000], [0.0000, 0.0000, 0.5000]],
  "crystal_system": "tetragonal",
  "dos_at_fermi_per_ev_cell": 2.07,
  "space_group": "No. 123",
  "formation_energy_uncorrected_ev_per_atom": 1.6409,
  "magnetic_moment_mub_per_fu": 3.91
}

Record 2
{
  "formula": "Hf2SbF",
  "functional": "GGA-PBE",
  "state": "relaxed",
  "lattice_angstrom": [[-3.5977, -2.4429, -1.9307], [-4.1570, -0.3230, 2.2921], [-3.8180, 2.3024, -1.6615]],
  "species": ["Hf", "Sb", "Hf", "F"],
  "frac_coords": [[0.2500, 0.2500, 0.2500], [0.5000, 0.5000, 0.5000], [0.7500, 0.7500, 0.7500], [0.0000, 0.0000, 0.0000]],
  "relative_energy_ev_per_atom": 0.000,
  "crystal_system": "cubic",
  "dos_at_fermi_per_ev_cell": 4.66,
  "space_group": "No. 225",
  "formation_energy_uncorrected_ev_per_atom": -0.7203,
  "magnetic_moment_mub_per_fu": 0.00
}

Record 3
{
  "formula": "HoPu6Se8",
  "functional": "GGA-PBE",
  "state": "relaxed",
  "lattice_angstrom": [[7.1794, 0.0000, 4.1450], [2.3931, 6.7688, 4.1450], [0.0000, 0.0000, 8.2900]],
  "species": ["Se", "Pu", "Se", "Se", "Se", "Se", "Pu", "Pu", "Se", "Se", "Pu", "Se", "Pu", "Ho", "Pu"],
  "frac_coords": [[0.7534, 0.2466, 0.7534], [0.5000, 0.0000, 0.0000], [0.2466, 0.7534, 0.2466], [0.7500, 0.7500, 0.7500], [0.7534, 0.7534, 0.2466], [0.2500, 0.2500, 0.2500], [0.5000, 0.5000, 0.0000], [0.5000, 0.0000, 0.5000], [0.7534, 0.2466, 0.2466], [0.2466, 0.2466, 0.7534], [0.0000, 0.5000, 0.0000], [0.2466, 0.7534, 0.7534], [0.0000, 0.5000, 0.5000], [0.0000, 0.0000, 0.0000], [0.0000, 0.0000, 0.5000]],
  "crystal_system": "cubic",
  "dos_at_fermi_per_ev_cell": 58.43,
  "space_group": "No. 225",
  "formation_energy_uncorrected_ev_per_atom": -1.5878,
  "magnetic_moment_mub_per_fu": 34.49
}

Record 4
{
  "formula": "Ca2TlZn",
  "functional": "GGA-PBE",
  "state": "relaxed",
  "lattice_angstrom": [[-4.0257, -2.2719, 2.4532], [-3.0410, -4.1942, -0.7398], [2.9354, -4.6686, 3.7159]],
  "species": ["Ca", "Ca", "Zn", "Tl"],
  "frac_coords": [[0.5062, 0.5062, 0.4928], [0.9938, 0.9938, 0.0072], [0.2500, 0.2500, 0.2500], [0.7500, 0.7500, 0.7500]],
  "delta_e_f_ev_per_atom": -0.152,
  "crystal_system": "monoclinic",
  "dos_at_fermi_per_ev_cell": 3.01,
  "space_group": "No. 12",
  "magnetic_moment_mub_per_fu": 0.00
}

Record 5
{
  "formula": "CaTi2S4",
  "functional": "GGA-PBE",
  "state": "relaxed",
  "lattice_angstrom": [[-3.6818, 3.8128, 5.3834], [3.6818, -3.8128, 5.3834], [3.6818, 3.8128, -5.3834]],
  "species": ["S", "Ti", "Ca", "S", "Ti", "S", "S", "S", "S", "Ca", "S", "Ti", "Ti", "S"],
  "frac_coords": [[0.7402, 0.7577, 0.9825], [0.8738, 0.1238, 0.7500], [0.0000, 0.5000, 0.5000], [0.7249, 0.2423, 0.4825], [0.1262, 0.8762, 0.2500], [0.7322, 0.7499, 0.5177], [0.2678, 0.7855, 0.0177], [0.2751, 0.7577, 0.5175], [0.2598, 0.2423, 0.0175], [0.5000, 0.5000, 0.0000], [0.2678, 0.2501, 0.4823], [0.5000, 0.5000, 0.5000], [0.5000, 0.0000, 0.0000], [0.7322, 0.2145, 0.9823]],
  "relative_energy_ev_per_atom": 0.184,
  "crystal_system": "orthorhombic",
  "dos_at_fermi_per_ev_cell": 8.59,
  "space_group": "No. 74",
  "formation_energy_uncorrected_ev_per_atom": -1.3939,
  "magnetic_moment_mub_per_fu": 2.01
}

Record 6
{
  "formula": "Nd6IrPb3",
  "functional": "GGA-PBE",
  "state": "relaxed",
  "lattice_angstrom": [[-0.2084, -5.2242, -3.6632], [8.5423, -1.9183, 2.2498], [-3.6567, -6.3387, 8.4795]],
  "species": ["Pb", "Pb", "Nd", "Pb", "Nd", "Nd", "Ir", "Nd", "Nd", "Pb", "Nd", "Nd", "Pb", "Nd", "Ir", "Pb", "Nd", "Nd", "Nd", "Nd"],
  "frac_coords": [[0.5967, 0.8834, 0.7380], [0.5000, 0.5000, 0.0000], [0.4015, 0.8046, 0.4385], [0.0000, 0.0000, 0.5000], [0.3783, 0.8436, 0.0582], [0.6329, 0.4539, 0.2669], [0.0000, 0.0000, 0.0000], [0.9015, 0.6954, 0.9385], [0.6217, 0.1564, 0.9418], [0.9033, 0.3834, 0.7620], [0.8671, 0.9539, 0.2331], [0.1217, 0.3436, 0.4418], [0.0967, 0.6166, 0.2380], [0.0985, 0.3046, 0.0615], [0.5000, 0.5000, 0.5000], [0.4033, 0.1166, 0.2620], [0.5985, 0.1954, 0.5615], [0.8783, 0.6564, 0.5582], [0.3671, 0.5461, 0.7331], [0.1329, 0.0461, 0.7669]],
  "delta_e_f_ev_per_atom": -0.463,
  "crystal_system": "monoclinic",
  "dos_at_fermi_per_ev_cell": 18.90,
  "space_group": "No. 14",
  "magnetic_moment_mub_per_fu": 0.00
}

Record 7
{
  "formula": "Li2AcAlF8",
  "functional": "GGA-PBE",
  "state": "relaxed",
  "lattice_angstrom": [[-2.4474, 3.3730, -1.3844], [-1.6036, -2.6037, -3.8231], [-5.2833, -1.6669, 4.6436]],
  "species": ["F", "F", "F", "Li", "F", "Al", "F", "F", "F", "F", "Ac", "Li"],
  "frac_coords": [[0.1705, 0.8058, 0.1719], [0.8295, 0.1942, 0.8281], [0.4443, 0.2693, 0.5714], [0.5299, 0.5302, 0.1779], [0.5557, 0.7307, 0.4286], [0.0000, 0.0000, 0.0000], [0.7003, 0.7482, 0.9868], [0.2997, 0.2517, 0.0132], [0.1770, 0.7825, 0.7876], [0.8230, 0.2175, 0.2124], [0.0000, 0.0000, 0.5000], [0.4701, 0.4698, 0.8221]],
  "crystal_system": "triclinic",
  "dos_at_fermi_per_ev_cell": 0.00,
  "space_group": "No. 2",
  "formation_energy_uncorrected_ev_per_atom": -3.4963,
  "magnetic_moment_mub_per_fu": 0.00
}

Record 8
{
  "formula": "Zr3NbBr",
  "functional": "GGA-PBE",
  "state": "relaxed",
  "lattice_angstrom": [[-1.1732, -2.0149, 4.3464], [0.8601, -4.4908, -1.8496], [4.7129, 0.3180, 1.4195]],
  "species": ["Br", "Zr", "Zr", "Zr", "Nb"],
  "frac_coords": [[0.0000, 0.0000, 0.0000], [0.0000, 0.5000, 0.0000], [0.5000, 0.0000, 0.0000], [0.0000, 0.0000, 0.5000], [0.5000, 0.5000, 0.5000]],
  "relative_energy_ev_per_atom": 0.000,
  "crystal_system": "cubic",
  "dos_at_fermi_per_ev_cell": 7.92,
  "space_group": "No. 221",
  "formation_energy_uncorrected_ev_per_atom": 0.5759,
  "magnetic_moment_mub_per_fu": 0.00
}

Record 9
{
  "formula": "Sm2Y4Th",
  "functional": "GGA-PBE",
  "state": "relaxed",
  "lattice_angstrom": [[3.5771, 0.0000, 0.0000], [1.7886, 3.0979, 0.0000], [1.7886, 1.0326, 21.0159]],
  "species": ["Y", "Sm", "Sm", "Th", "Y", "Y", "Y"],
  "frac_coords": [[0.7107, 0.7107, 0.8680], [0.2350, 0.2350, 0.2949], [0.7650, 0.7650, 0.7051], [0.0000, 0.0000, 0.0000], [0.8565, 0.8565, 0.4304], [0.2893, 0.2893, 0.1320], [0.1435, 0.1435, 0.5696]],
  "delta_e_f_ev_per_atom": 0.078,
  "relative_energy_ev_per_atom": 0.054,
  "crystal_system": "trigonal",
  "dos_at_fermi_per_ev_cell": 10.33,
  "space_group": "No. 166",
  "magnetic_moment_mub_per_fu": 0.01
}

Record 10
{
  "formula": "DyMg8In6",
  "functional": "GGA-PBE",
  "state": "relaxed",
  "lattice_angstrom": [[8.6486, 0.0000, 0.0000], [4.3243, 7.4899, 0.0000], [4.3243, 2.4966, 6.1216]],
  "species": ["In", "Mg", "Mg", "In", "In", "Mg", "Mg", "Mg", "In", "In", "Mg", "Mg", "Dy", "In", "Mg"],
  "frac_coords": [[0.2799, 0.5992, 0.1783], [0.7796, 0.1150, 0.6610], [0.2204, 0.8850, 0.3390], [0.9426, 0.2799, 0.1783], [0.5992, 0.9426, 0.1783], [0.4444, 0.7796, 0.6610], [0.3358, 0.3358, 0.9927], [0.6642, 0.6642, 0.0073], [0.0574, 0.7201, 0.8217], [0.7201, 0.4008, 0.8217], [0.1150, 0.4444, 0.6610], [0.5556, 0.2204, 0.3390], [0.0000, 0.0000, 0.0000], [0.4008, 0.0574, 0.8217], [0.8850, 0.5556, 0.3390]],
  "delta_e_f_ev_per_atom": -0.019,
  "crystal_system": "trigonal",
  "dos_at_fermi_per_ev_cell": 8.80,
  "space_group": "No. 148",
  "magnetic_moment_mub_per_fu": 0.00
}

Record 11
{
  "formula": "Tl6IBr2Cl3",
  "functional": "GGA-PBE",
  "state": "relaxed",
  "lattice_angstrom": [[-5.8508, -1.6015, 5.4981], [-1.7796, 0.0262, -7.9911], [4.2366, -6.9918, 0.4350]],
  "species": ["Cl", "Br", "Tl", "I", "Tl", "Cl", "Tl", "Tl", "Cl", "Tl", "Tl", "Br"],
  "frac_coords": [[0.8380, 0.1620, 0.5000], [0.3316, 0.6684, 0.0000], [0.5673, 0.9112, 0.7348], [0.0000, 0.0000, 0.0000], [0.4327, 0.0888, 0.2652], [0.5000, 0.5000, 0.5000], [0.2541, 0.2541, 0.7317], [0.9112, 0.5673, 0.7348], [0.1620, 0.8380, 0.5000], [0.0888, 0.4327, 0.2652], [0.7459, 0.7459, 0.2683], [0.6684, 0.3316, 0.0000]],
  "crystal_system": "monoclinic",
  "dos_at_fermi_per_ev_cell": 0.00,
  "space_group": "No. 12",
  "formation_energy_uncorrected_ev_per_atom": -0.9003,
  "magnetic_moment_mub_per_fu": 0.00
}

Record 12
{
  "formula": "Nd2YHoBi5",
  "functional": "GGA-PBE",
  "state": "relaxed",
  "lattice_angstrom": [[5.4218, 0.0000, 0.0000], [0.0000, 5.4218, 0.0000], [0.0000, 0.0000, 11.9206]],
  "species": ["Bi", "Y", "Bi", "Nd", "Bi", "Bi", "Ho", "Nd", "Bi"],
  "frac_coords": [[0.0000, 0.5000, 0.5000], [0.0000, 0.0000, 0.0000], [0.0000, 0.0000, 0.2462], [0.5000, 0.5000, 0.7257], [0.5000, 0.5000, 0.0000], [0.5000, 0.0000, 0.5000], [0.0000, 0.0000, 0.5000], [0.5000, 0.5000, 0.2743], [0.0000, 0.0000, 0.7538]],
  "delta_e_f_ev_per_atom": -0.137,
  "crystal_system": "tetragonal",
  "dos_at_fermi_per_ev_cell": 6.15,
  "space_group": "No. 123",
  "magnetic_moment_mub_per_fu": 0.00
}